[1]
VASP calculation (PBE) on RbNbW2I after structural relaxation.

Structure (CIF):
```
data_RbNbW2I
_symmetry_space_group_name_H-M 'P 4/m m m'
_symmetry_Int_Tables_number 123
_symmetry_space_group_name_Hall '-P 4 2'
_cell_length_a 4.7821
_cell_length_b 4.7821
_cell_length_c 5.6560
_cell_angle_alpha 90.00
_cell_angle_beta 90.00
_cell_angle_gamma 90.00
loop_
_atom_site_label
_atom_site_type_symbol
_atom_site_fract_x
_atom_site_fract_y
_atom_site_fract_z
Rb1 Rb 0.0000 0.0000 0.0000
Nb1 Nb 0.5000 0.5000 0.5000
W1 W 0.0000 0.5000 0.0000
I1 I 0.0000 0.0000 0.5000
```

The value obtained for the formation energy from raw total energies is 363 kJ per mole of atoms. The calculation puts the magnetic moment at 2.3 μB/cell.


[2]
VASP calculation (PBE) on Rb2NbZnI6 after structural relaxation.

Structure (CIF):
```
data_Rb2NbZnI6
_symmetry_space_group_name_H-M 'I 4/m m m'
_symmetry_Int_Tables_number 139
_symmetry_space_group_name_Hall '-I 4 2'
_cell_length_a 8.3291
_cell_length_b 8.3291
_cell_length_c 11.8020
_cell_angle_alpha 90.00
_cell_angle_beta 90.00
_cell_angle_gamma 90.00
loop_
_atom_site_label
_atom_site_type_symbol
_atom_site_fract_x
_atom_site_fract_y
_atom_site_fract_z
Rb1 Rb 0.0000 0.5000 0.2500
Nb1 Nb 0.0000 0.0000 0.0000
Zn1 Zn 0.0000 0.0000 0.5000
I1 I 0.0000 0.0000 0.2440
I2 I 0.2447 0.2447 0.0000
```

The value obtained for the formation energy from raw total energies is -68 kJ per mole of atoms. The calculation puts the magnetic moment at 5.4 μB/cell.


[3]
VASP calculation (PBE) on RbZr2NbI after structural relaxation.

Structure (CIF):
```
data_RbZr2NbI
_symmetry_space_group_name_H-M 'P 4/m m m'
_symmetry_Int_Tables_number 123
_symmetry_space_group_name_Hall '-P 4 2'
_cell_length_a 5.3524
_cell_length_b 5.3524
_cell_length_c 6.0667
_cell_angle_alpha 90.00
_cell_angle_beta 90.00
_cell_angle_gamma 90.00
loop_
_atom_site_label
_atom_site_type_symbol
_atom_site_fract_x
_atom_site_fract_y
_atom_site_fract_z
Rb1 Rb 0.0000 0.0000 0.0000
Zr1 Zr 0.0000 0.5000 0.5000
Nb1 Nb 0.5000 0.5000 0.0000
I1 I 0.0000 0.0000 0.5000
```

The value obtained for the formation energy from raw total energies is 148 kJ per mole of atoms. The calculation puts the magnetic moment at 2.5 μB/cell.


[4]
VASP calculation (PBE) on Rb2ZrNbI6 after structural relaxation.

Structure (CIF):
```
data_Rb2ZrNbI6
_symmetry_space_group_name_H-M 'F m -3 m'
_symmetry_Int_Tables_number 225
_symmetry_space_group_name_Hall '-F 4 2 3'
_cell_length_a 11.7246
_cell_length_b 11.7246
_cell_length_c 11.7246
_cell_angle_alpha 90.00
_cell_angle_beta 90.00
_cell_angle_gamma 90.00
loop_
_atom_site_label
_atom_site_type_symbol
_atom_site_fract_x
_atom_site_fract_y
_atom_site_fract_z
Rb1 Rb 0.2500 0.2500 0.2500
Zr1 Zr 0.0000 0.0000 0.0000
Nb1 Nb 0.0000 0.0000 0.5000
I1 I 0.0000 0.0000 0.2524
```

The value obtained for the formation energy from raw total energies is -68 kJ per mole of atoms. The calculation puts the magnetic moment at 4.0 μB/cell.